# HgMo2F4 | Alexandria via LeMat-Bulk | PBE with a Hubbard U | optimized geometry
# - spin magnetization (μB per atom) = 1.290
# - total energy (eV/atom) = -4.000
data_HgMo2F4
_space_group_name_H-M_alt 'I 4/m m m'
_space_group_IT_number 139
_space_group_name_Hall '-I 4 2'
_cell_length_a 4.755
_cell_length_b 4.755
_cell_length_c 12.408
_cell_angle_alpha 90.00
_cell_angle_beta 90.00
_cell_angle_gamma 90.00
loop_
_atom_site_label
_atom_site_fract_x
_atom_site_fract_y
_atom_site_fract_z
Hg1 0.000 0.000 0.000
Mo1 0.000 0.000 0.378
F1 0.000 0.000 0.205
F2 0.000 0.500 0.000